No. 1
A plane-wave DFT calculation with PBE-GGA was carried out for a relaxed YPuTc2 crystal.

a = 4.796 Å, b = 4.796 Å, c = 4.796 Å
α = 60.00°, β = 60.00°, γ = 60.00°
Last column: magnetic moment on the atom in μB.
Positions (direct):
Pu  0.000  0.000  0.000  4.60
Y  0.500  0.500  0.500  -0.04
Tc  0.250  0.250  0.250  -0.70
Tc  0.750  0.750  0.750  -0.70

- Space-group type: Fm-3m
- Mass density: 11.26 g/cm³
- Formation enthalpy at 0 K: 0.070 eV/atom
- Relative energy among the computed polymorphs: 55 meV/atom
- E_tot: -10.31 eV per atom

---

No. 2
A plane-wave DFT calculation with PBE-GGA was carried out for a relaxed YPu3Tc3 crystal.

a = 7.098 Å, b = 7.098 Å, c = 7.098 Å
α = 90.00°, β = 90.00°, γ = 90.00°
Last column: magnetic moment on the atom in μB.
Positions (direct):
Y  0.000  0.000  0.000  0.21
Tc  0.000  0.750  0.500  -0.70
Pu  0.750  0.000  0.500  4.60
Tc  0.000  0.250  0.500  -0.70
Tc  0.250  0.500  0.000  -0.70
Pu  0.500  0.750  0.000  4.60
Pu  0.000  0.500  0.250  4.60
Pu  0.000  0.500  0.750  4.60
Tc  0.500  0.000  0.250  -0.70
Y  0.500  0.500  0.500  0.21
Tc  0.750  0.500  0.000  -0.70
Pu  0.250  0.000  0.500  4.60
Tc  0.500  0.000  0.750  -0.70
Pu  0.500  0.250  0.000  4.60

- Space-group type: Pm-3n
- Mass density: 10.35 g/cm³
- Formation enthalpy at 0 K: 0.733 eV/atom
- E_tot: -10.77 eV per atom

---

No. 3
A plane-wave DFT calculation with PBE-GGA was carried out for a relaxed PuZnTc2 crystal.

a = 3.294 Å, b = 3.294 Å, c = 6.044 Å
α = 90.00°, β = 90.00°, γ = 90.00°
Last column: magnetic moment on the atom in μB.
Positions (direct):
Tc  0.000  0.000  0.745  -0.76
Tc  0.000  0.000  0.255  -0.76
Zn  0.500  0.500  0.500  0.01
Pu  0.500  0.500  0.000  4.10

- Space-group type: P4/mmm
- Mass density: 12.79 g/cm³
- Formation enthalpy at 0 K: 0.149 eV/atom
- Relative energy among the computed polymorphs: 107 meV/atom
- E_tot: -8.94 eV per atom

---

No. 4
A plane-wave DFT calculation with PBE-GGA was carried out for a relaxed PuZnTc2 crystal.

a = 4.517 Å, b = 4.517 Å, c = 4.517 Å
α = 60.00°, β = 60.00°, γ = 60.00°
Last column: magnetic moment on the atom in μB.
Positions (direct):
Pu  0.000  0.000  0.000  4.41
Tc  0.750  0.750  0.750  -0.56
Tc  0.250  0.250  0.250  -0.56
Zn  0.500  0.500  0.500  0.00

- Space-group type: Fm-3m
- Mass density: 12.87 g/cm³
- Formation enthalpy at 0 K: 0.058 eV/atom
- Relative energy among the computed polymorphs: 15 meV/atom
- E_tot: -9.03 eV per atom

---

No. 5
A plane-wave DFT calculation with PBE-GGA was carried out for a relaxed Pu2Zn16Tc crystal.

a = 6.795 Å, b = 6.795 Å, c = 6.795 Å
α = 83.74°, β = 83.74°, γ = 83.74°
Last column: magnetic moment on the atom in μB.
Positions (direct):
Zn  0.000  0.000  0.498  0.00
Zn  0.359  0.837  0.359  0.00
Zn  0.099  0.099  0.099  0.01
Zn  0.710  0.286  0.998  0.00
Pu  0.682  0.682  0.682  5.13
Zn  0.998  0.286  0.710  0.00
Zn  0.000  0.498  0.000  0.00
Zn  0.286  0.998  0.710  0.00
Zn  0.152  0.648  0.648  0.00
Zn  0.648  0.648  0.152  0.00
Tc  0.889  0.889  0.889  -0.49
Zn  0.286  0.710  0.998  0.00
Zn  0.837  0.359  0.359  0.00
Zn  0.498  0.000  0.000  0.00
Zn  0.998  0.710  0.286  0.00
Pu  0.342  0.342  0.342  5.32
Zn  0.359  0.359  0.837  0.00
Zn  0.648  0.152  0.648  0.00
Zn  0.710  0.998  0.286  0.00

- Space-group type: R3m
- Mass density: 8.79 g/cm³
- Formation enthalpy at 0 K: -0.101 eV/atom
- E_tot: -3.23 eV per atom

---

No. 6
A plane-wave DFT calculation with PBE-GGA was carried out for a relaxed PuZnTc2 crystal.

a = 3.489 Å, b = 4.324 Å, c = 4.324 Å
α = 90.00°, β = 90.00°, γ = 90.00°
Last column: magnetic moment on the atom in μB.
Positions (direct):
Zn  0.500  0.500  0.500  -0.01
Tc  0.000  0.500  0.000  -0.91
Pu  0.500  0.000  0.000  3.96
Tc  0.000  0.000  0.500  -0.91

- Space-group type: P4/mmm
- Mass density: 12.86 g/cm³
- Formation enthalpy at 0 K: 0.043 eV/atom
- Relative energy among the computed polymorphs: 0 meV/atom
- E_tot: -9.04 eV per atom